Entry 1:
# TlVTe2Pt

A relaxed structure of TlVTe2Pt (PBE, Alexandria via LeMat-Bulk).

Lattice parameters (Å, degrees): 5.202 5.202 4.910 90.00 90.00 90.00
Space group P4/mmm (No. 123)
One atom of each set of equivalent atoms:
Tl 0.000 0.000 0.000
V 0.500 0.500 0.500
Te 0.000 0.500 0.500
Pt 0.500 0.500 0.000

* magnetization: 0.00 μB/f.u.
* crystal system: tetragonal
* formation energy from raw total energies: 0.181 eV/atom

=====

Entry 2:
# ZrTlTe3Pt

A relaxed structure of ZrTlTe3Pt (PBE, Alexandria via LeMat-Bulk).

Lattice parameters (Å, degrees): 8.887 3.991 10.901 90.00 113.11 90.00
Space group P2_1/m (No. 11)
One atom of each set of equivalent atoms:
Zr 0.218 0.250 0.181
Tl 0.211 0.750 0.714
Te 0.053 0.250 0.880
Te 0.253 0.250 0.456
Te 0.439 0.750 0.151
Pt 0.409 0.750 0.387

* magnetization: 0.00 μB/f.u.
* crystal system: monoclinic
* formation energy from raw total energies: -0.609 eV/atom

=====

Entry 3:
# Tm6TePt3

A relaxed structure of Tm6TePt3 (PBE, Alexandria via LeMat-Bulk).

Lattice parameters (Å, degrees): 11.649 4.091 11.733 90.00 107.71 90.00
Space group P2_1/m (No. 11)
One atom of each set of equivalent atoms:
Tm 0.022 0.250 0.375
Tm 0.101 0.250 0.926
Tm 0.220 0.750 0.255
Tm 0.265 0.250 0.691
Tm 0.407 0.750 0.539
Tm 0.436 0.250 0.141
Te 0.320 0.750 0.924
Pt 0.068 0.250 0.151
Pt 0.167 0.750 0.514
Pt 0.481 0.750 0.313

* magnetization: 0.00 μB/f.u.
* crystal system: monoclinic
* formation energy from raw total energies: -1.056 eV/atom

=====

Entry 4:
# Tm5Te2Pt2

A relaxed structure of Tm5Te2Pt2 (PBE, Alexandria via LeMat-Bulk).

Lattice parameters (Å, degrees): 15.511 7.704 7.705 90.00 90.00 90.00
Space group Cmce (No. 64)
One atom of each set of equivalent atoms:
Tm 0.000 0.000 0.000
Tm 0.119 0.159 0.342
Te 0.209 0.000 0.000
Pt 0.000 0.140 0.637

* magnetization: 0.00 μB/f.u.
* crystal system: orthorhombic
* formation energy from raw total energies: -1.214 eV/atom

=====

Entry 5:
# Tm7Te2Pt2

A relaxed structure of Tm7Te2Pt2 (PBE, Alexandria via LeMat-Bulk).

Lattice parameters (Å, degrees): 3.914 15.482 9.543 90.00 90.00 90.00
Space group Imm2 (No. 44)
One atom of each set of equivalent atoms:
Tm 0.000 0.000 0.000
Tm 0.000 0.131 0.583
Tm 0.000 0.316 0.374
Tm 0.000 0.357 0.730
Te 0.000 0.000 0.338
Te 0.000 0.500 0.237
Pt 0.000 0.237 0.073

* magnetization: 0.00 μB/f.u.
* crystal system: orthorhombic
* formation energy from raw total energies: -1.032 eV/atom

=====

Entry 6:
# Tm3TePt

A relaxed structure of Tm3TePt (PBE, Alexandria via LeMat-Bulk).

Lattice parameters (Å, degrees): 4.040 13.288 10.265 90.00 90.00 90.00
Space group Cmcm (No. 63)
One atom of each set of equivalent atoms:
Tm 0.000 0.067 0.250
Tm 0.000 0.365 0.054
Te 0.000 0.252 0.750
Pt 0.000 0.000 0.000

* magnetization: 0.00 μB/f.u.
* crystal system: orthorhombic
* formation energy from raw total energies: -0.991 eV/atom

=====

Short version: energy = -0.168 -0.184 -0.216 -0.211 -0.204 -0.203 hartree per atom, in the order given.
Short version: Fermi-level density of states = 2.28 5.51 14.22 33.44 16.36 12.27 states/eV per cell, in the order given.